# 1
Density functional theory data (PBE) for Th2TaRu after structural relaxation.

Formation enthalpy at 0 K = 594 meV/atom
Symmetry = No. 166

Cell: 3.2360 3.2360 10.6286 Å, 81.24 81.24 60.00°
Closest atoms and distances in Å follow each position.
Element x y z (fractional)
Th (0.0935, 0.0935, 0.7194)  1 Ta 2.94, 3 Ru 2.96, 6 Th 3.24
Th (0.9065, 0.9065, 0.2806)  1 Ta 2.94, 3 Ru 2.96, 6 Th 3.24
Ru (0.5000, 0.5000, 0.5000)  6 Th 2.96, 6 Ru 3.24
Ta (0.0000, 0.0000, 0.0000)  2 Th 2.94, 6 Ta 3.24

---

# 2
Density functional theory data (PBE) for BaLaH3 after structural relaxation.

E above lowest polymorph = 0.00 eV/f.u.
Symmetry = No. 221

Cell: 4.6612 4.6612 4.6612 Å, 90.00 90.00 90.00°
Closest atoms and distances in Å follow each position.
Element x y z (fractional)
La (0.0000, 0.0000, 0.0000)  6 H 2.33
Ba (0.5000, 0.5000, 0.5000)  12 H 3.30
H (0.0000, 0.0000, 0.5000)  2 La 2.33
H (0.5000, 0.0000, 0.0000)  2 La 2.33
H (0.0000, 0.5000, 0.0000)  2 La 2.33

---

# 3
Density functional theory data (PBE) for Ta2B2Os after structural relaxation.

E above lowest polymorph = 0.00 eV/f.u.
Formation enthalpy at 0 K = -647 meV/atom
Symmetry = No. 128

Cell: 5.8971 5.8971 6.9330 Å, 90.00 90.00 90.00°
Closest atoms and distances in Å follow each position.
Element x y z (fractional)
Os (0.5000, 0.5000, 0.2233)  4 B 2.38
Os (0.0000, 0.0000, 0.7233)  4 B 2.38
Os (0.5000, 0.5000, 0.7767)  4 B 2.38
Os (0.0000, 0.0000, 0.2767)  4 B 2.38
Ta (0.3149, 0.1644, 0.0000)  6 B 2.42-2.49
Ta (0.6644, 0.8149, 0.5000)  6 B 2.42-2.49
Ta (0.3356, 0.1851, 0.5000)  6 B 2.42-2.49
Ta (0.1644, 0.6851, 0.0000)  6 B 2.42-2.49
Ta (0.1851, 0.6644, 0.5000)  6 B 2.42-2.49
Ta (0.8356, 0.3149, 0.0000)  6 B 2.42-2.49
Ta (0.8149, 0.3356, 0.5000)  6 B 2.42-2.49
Ta (0.6851, 0.8356, 0.0000)  6 B 2.42-2.49
B (0.1141, 0.3859, 0.2500)  1 B 1.90
B (0.3859, 0.8859, 0.2500)  1 B 1.90
B (0.8859, 0.6141, 0.7500)  1 B 1.90
B (0.6141, 0.1141, 0.2500)  1 B 1.90
B (0.1141, 0.3859, 0.7500)  1 B 1.90
B (0.3859, 0.8859, 0.7500)  1 B 1.90
B (0.6141, 0.1141, 0.7500)  1 B 1.90
B (0.8859, 0.6141, 0.2500)  1 B 1.90

---

# 4
Density functional theory data (PBE) for Li4ZnCu after structural relaxation.

E above lowest polymorph = 0.06 eV/f.u.
Formation enthalpy at 0 K = -62 meV/atom
Symmetry = No. 47

Cell: 4.1585 5.1850 8.2796 Å, 90.00 90.01 90.00°
Closest atoms and distances in Å follow each position.
Element x y z (fractional)
Zn (0.5000, 0.5000, 0.0000)  2 Zn 2.59, 10 Li 2.80-2.83
Zn (0.5000, 0.0000, 0.0000)  2 Zn 2.59, 10 Li 2.80-2.83
Cu (0.0000, 0.2500, 0.4997)  2 Cu 2.59, 10 Li 2.77-2.78
Cu (0.0000, 0.7500, 0.5003)  2 Cu 2.59, 10 Li 2.77-2.78
Li (0.4998, 0.9999, 0.6577)  7 Li 2.59-2.86, 4 Cu 2.77-2.78, 1 Zn 2.83
Li (0.9999, 0.2500, 0.8347)  7 Li 2.59-2.86, 1 Cu 2.77, 4 Zn 2.81
Li (0.4998, 0.5001, 0.6577)  7 Li 2.59-2.86, 4 Cu 2.77-2.78, 1 Zn 2.83
Li (0.0001, 0.7500, 0.1653)  7 Li 2.59-2.86, 1 Cu 2.77, 4 Zn 2.81
Li (0.5002, 0.0001, 0.3423)  7 Li 2.59-2.86, 4 Cu 2.77-2.78, 1 Zn 2.83
Li (0.0001, 0.2500, 0.1642)  7 Li 2.59-2.86, 1 Cu 2.78, 4 Zn 2.80
Li (0.9999, 0.7500, 0.8358)  7 Li 2.59-2.86, 1 Cu 2.78, 4 Zn 2.80
Li (0.5002, 0.4999, 0.3423)  7 Li 2.59-2.86, 4 Cu 2.77-2.78, 1 Zn 2.83

---

# 5
Density functional theory data (PBE) for Ti2NbCoP after structural relaxation.

Formation enthalpy at 0 K = 164 meV/atom
Symmetry = No. 123

Cell: 4.5098 4.0521 4.5098 Å, 90.00 90.00 90.00°
Closest atoms and distances in Å follow each position.
Element x y z (fractional)
Ti (0.0000, 0.0000, 0.5000)  2 Co 2.25
Ti (0.5000, 0.0000, 0.0000)  2 Co 2.25
P (0.0000, 0.5000, 0.0000)  2 Co 2.03
Co (0.0000, 0.0000, 0.0000)  2 P 2.03, 4 Ti 2.25
Nb (0.5000, 0.5000, 0.5000)  8 Ti 3.03, 4 P 3.19

---

# 6
Density functional theory data (PBE) for KNi3S after structural relaxation.

E above lowest polymorph = 9.86 eV/f.u.
Raw formation energy = 2130 meV per atom
Symmetry = No. 221

Cell: 4.5394 4.5394 4.5394 Å, 90.00 90.00 90.00°
Closest atoms and distances in Å follow each position.
Element x y z (fractional)
Ni (0.5000, 0.0000, 0.0000)  2 K 2.27
Ni (0.0000, 0.5000, 0.0000)  2 K 2.27
Ni (0.0000, 0.0000, 0.5000)  2 K 2.27
S (0.5000, 0.5000, 0.5000)  12 Ni 3.21
K (0.0000, 0.0000, 0.0000)  6 Ni 2.27

---

# 7
Density functional theory data (PBE) for ZnCoCl3 after structural relaxation.

E above lowest polymorph = 0.00 eV/f.u.
Raw formation energy = -198 meV per atom
Symmetry = No. 221

Cell: 4.7099 4.7099 4.7099 Å, 90.00 90.00 90.00°
Closest atoms and distances in Å follow each position.
Element x y z (fractional)
Cl (0.0000, 0.0000, 0.5000)  2 Co 2.35
Cl (0.0000, 0.5000, 0.0000)  2 Co 2.35
Cl (0.5000, 0.0000, 0.0000)  2 Co 2.35
Co (0.0000, 0.0000, 0.0000)  6 Cl 2.35
Zn (0.5000, 0.5000, 0.5000)  12 Cl 3.33

---

# 8
Density functional theory data (PBE) for Pm3Y2PaN6 after structural relaxation.

Raw formation energy = -1619 meV per atom
Symmetry = No. 12

Cell: 6.1246 6.1246 6.1632 Å, 99.52 99.52 119.99°
Closest atoms and distances in Å follow each position.
Element x y z (fractional)
Y (0.6662, 0.3338, 0.0000)  6 N 2.48-2.49
Y (0.3338, 0.6662, 0.0000)  6 N 2.48-2.49
Pm (0.1684, 0.8316, 0.5000)  6 N 2.53-2.63
Pm (0.5000, 0.5000, 0.5000)  6 N 2.54-2.64
Pm (0.8316, 0.1684, 0.5000)  6 N 2.53-2.63
N (0.7585, 0.7585, 0.2311)  1 Pa 2.37, 2 Y 2.48, 3 Pm 2.55-2.64
N (0.2415, 0.2415, 0.7689)  1 Pa 2.37, 2 Y 2.48, 3 Pm 2.55-2.64
N (0.3962, 0.0773, 0.2320)  1 Pa 2.37, 2 Y 2.49, 3 Pm 2.53-2.63
N (0.6038, 0.9227, 0.7680)  1 Pa 2.37, 2 Y 2.49, 3 Pm 2.53-2.63
N (0.0773, 0.3962, 0.2320)  1 Pa 2.37, 2 Y 2.49, 3 Pm 2.53-2.63
N (0.9227, 0.6038, 0.7680)  1 Pa 2.37, 2 Y 2.49, 3 Pm 2.53-2.63
Pa (0.0000, 0.0000, 0.0000)  6 N 2.37

---

# 9
Density functional theory data (PBE) for CaAg2Ge2 after structural relaxation.

Formation enthalpy at 0 K = -61 meV/atom
Symmetry = No. 127

Cell: 8.0246 8.0246 3.1989 Å, 90.00 90.00 90.00°
Closest atoms and distances in Å follow each position.
Element x y z (fractional)
Ge (0.3257, 0.1743, 0.5000)  6 Ag 2.79-2.91
Ge (0.6743, 0.8257, 0.5000)  6 Ag 2.79-2.91
Ge (0.8257, 0.3257, 0.5000)  6 Ag 2.79-2.91
Ge (0.1743, 0.6743, 0.5000)  6 Ag 2.79-2.91
Ag (0.8756, 0.6244, 0.0000)  6 Ge 2.79-2.91, 1 Ag 2.82
Ag (0.1244, 0.3756, 0.0000)  6 Ge 2.79-2.91, 1 Ag 2.82
Ag (0.3756, 0.8756, 0.0000)  6 Ge 2.79-2.91, 1 Ag 2.82
Ag (0.6244, 0.1244, 0.0000)  6 Ge 2.79-2.91, 1 Ag 2.82
Ca (0.5000, 0.5000, 0.0000)  4 Ag 3.18, 2 Ca 3.20, 8 Ge 3.37
Ca (0.0000, 0.0000, 0.0000)  4 Ag 3.18, 2 Ca 3.20, 8 Ge 3.37

---

# 10
Density functional theory data (PBE) for AcTbNi2 after structural relaxation.

E above lowest polymorph = 0.00 eV/f.u.
Formation enthalpy at 0 K = -314 meV/atom
Symmetry = No. 6

Cell: 3.8999 4.3155 5.7643 Å, 90.00 109.68 90.00°
Closest atoms and distances in Å follow each position.
Element x y z (fractional)
Ni (0.0076, 0.0000, 0.5543)  2 Ni 2.63
Ni (0.1455, 0.5000, 0.8299)  2 Ni 2.63, 2 Tb 2.86
Ac (0.7255, 0.0000, 0.9897)  7 Ni 3.03-3.07
Tb (0.4523, 0.5000, 0.4441)  6 Ni 2.86-2.97